# TbH9C5N2O8 | Alexandria via LeMat-Bulk | meta-GGA SCAN | single point on PBEsol structure
data_TbH9C5N2O8
_cell_length_a 11.2881
_cell_length_b 7.1390
_cell_length_c 6.4920
_cell_angle_alpha 90.00
_cell_angle_beta 110.07
_cell_angle_gamma 90.00
_symmetry_space_group_name_H-M 'C 1 2 1'
_symmetry_Int_Tables_number 5
_symmetry_space_group_name_Hall 'C 2y'
loop_
_atom_site_label
_atom_site_fract_x
_atom_site_fract_y
_atom_site_fract_z
_atom_site_occupancy
Tb1 0.0000 0.0000 0.0000 1
H1 0.0000 0.0801 0.5000 1
H2 0.0067 0.4517 0.1710 1
H3 0.1167 0.6189 0.4632 1
H4 0.1850 0.6450 0.8845 1
H5 0.2164 0.4270 0.6023 1
C1 0.0000 0.9251 0.5000 1
C2 0.0862 0.3789 0.2955 1
C3 0.2409 0.7084 0.0456 1
N1 0.1466 0.4825 0.4666 1
O1 0.0059 0.8416 0.3310 1
O2 0.1127 0.2118 0.2679 1
O3 0.1451 0.1651 0.8673 1
O4 0.1824 0.8216 0.1286 1
# **Total DFT energy (no corrections)**: -8.95 eV per atom
# **M_tot**: 0.000 μB per atom